# 1
This record from the Alexandria database describes Cd2TcSe after structural relaxation. The functional is PBE.

CIF file:
```
data_Cd2TcSe
_chemical_formula_sum 'Cd6 Tc3 Se3'
_cell_length_a 3.0867
_cell_length_b 3.0867
_cell_length_c 32.5531
_cell_angle_alpha 90.00
_cell_angle_beta 90.00
_cell_angle_gamma 120.00
_space_group_name_H-M_alt 'R 3 m'
_space_group_IT_number 160
_space_group_name_Hall 'R 3 -2"'
loop_
_atom_site_label
_atom_site_fract_x
_atom_site_fract_y
_atom_site_fract_z
_atom_site_occupancy
Cd1 0.0000 0.0000 0.0000 1
Cd2 0.0000 0.0000 0.2429 1
Tc1 0.0000 0.0000 0.7388 1
Se1 0.0000 0.0000 0.4558 1
```

---

# 2
This record from the Alexandria database describes Rb5PtIO2 after structural relaxation. The functional is PBE.

CIF file:
```
data_Rb5PtIO2
_chemical_formula_sum 'Rb5 Pt1 I1 O2'
_cell_length_a 5.681
_cell_length_b 5.681
_cell_length_c 9.595
_cell_angle_alpha 90.00
_cell_angle_beta 90.00
_cell_angle_gamma 90.00
_space_group_name_H-M_alt 'P 4/m m m'
_space_group_IT_number 123
_space_group_name_Hall '-P 4 2'
loop_
_atom_site_label
_atom_site_fract_x
_atom_site_fract_y
_atom_site_fract_z
_atom_site_occupancy
Rb1 0.000 0.000 0.000 1
Rb2 0.000 0.500 0.296 1
Pt1 0.000 0.000 0.500 1
I1 0.500 0.500 0.000 1
O1 0.000 0.000 0.282 1
```

---

# 3
This record from the Alexandria database describes YTmNp2S4 after structural relaxation. The functional is PBE.

CIF file:
```
data_YTmNp2S4
_chemical_formula_sum 'Y1 Tm1 Np2 S4'
_cell_length_a 6.719
_cell_length_b 3.899
_cell_length_c 6.776
_cell_angle_alpha 90.00
_cell_angle_beta 109.61
_cell_angle_gamma 90.00
_space_group_name_H-M_alt 'P 1 2/m 1'
_space_group_IT_number 10
loop_
_space_group_symop_operation_xyz
'x,y,z'
'-x,-y,-z'
'-x,y,-z'
'x,-y,z'
loop_
_atom_site_label
_atom_site_fract_x
_atom_site_fract_y
_atom_site_fract_z
_atom_site_occupancy
Y1 0.000 0.000 0.000 1
Tm1 0.000 0.500 0.500 1
Np1 0.500 0.000 0.500 1
Np2 0.500 0.500 0.000 1
S1 0.245 0.000 0.746 1
S2 0.248 0.500 0.253 1
```

---

| no. | ρ (g/cm³) | ΔE_f (raw) (eV per atom) |
| --- | --- | --- |
| 1 | 7.45 | -0.03 |
| 2 | 4.19 | -0.97 |
| 3 | 8.54 | -1.66 |